This record from Alexandria via LeMat-Bulk describes Pr11Y9Th4 after structural relaxation. The functional is PBE-GGA.

The structure in CIF format:
```
data_Pr11Y9Th4
_chemical_formula_sum 'Pr22 Y18 Th8'
_symmetry_space_group_name_H-M 'C m m m'
_symmetry_Int_Tables_number 65
_symmetry_space_group_name_Hall '-C 2 2'
_cell_length_a 17.2660
_cell_length_b 25.9740
_cell_length_c 3.7292
_cell_angle_alpha 90.00
_cell_angle_beta 90.00
_cell_angle_gamma 90.00
loop_
_atom_site_label
_atom_site_type_symbol
_atom_site_fract_x
_atom_site_fract_y
_atom_site_fract_z
Pr1 Pr 0.0000 0.0000 0.0000
Pr2 Pr 0.0000 0.1576 0.0000
Pr3 Pr 0.0000 0.3678 0.0000
Pr4 Pr 0.2058 0.5000 0.0000
Pr5 Pr 0.2290 0.1814 0.0000
Y1 Y 0.0000 0.5000 0.5000
Y2 Y 0.1012 0.2640 0.5000
Y3 Y 0.1399 0.0727 0.5000
Th1 Th 0.1563 0.3981 0.5000
```

Properties
The crystal system is orthorhombic.


This record from Alexandria via LeMat-Bulk describes Pr3Y8Th3 after structural relaxation. The functional is PBE-GGA.

The structure in CIF format:
```
data_Pr3Y8Th3
_chemical_formula_sum 'Pr6 Y16 Th6'
_symmetry_space_group_name_H-M 'I m m m'
_symmetry_Int_Tables_number 71
_symmetry_space_group_name_Hall '-I 2 2'
_cell_length_a 5.6543
_cell_length_b 12.2730
_cell_length_c 13.6380
_cell_angle_alpha 90.00
_cell_angle_beta 90.00
_cell_angle_gamma 90.00
loop_
_atom_site_label
_atom_site_type_symbol
_atom_site_fract_x
_atom_site_fract_y
_atom_site_fract_z
Pr1 Pr 0.0000 0.0000 0.0000
Pr2 Pr 0.0000 0.2821 0.0000
Y1 Y 0.0000 0.1405 0.2521
Y2 Y 0.0000 0.3628 0.3848
Th1 Th 0.0000 0.0000 0.5000
Th2 Th 0.0000 0.5000 0.1556
```

Properties
The crystal system is orthorhombic.


This record from Alexandria via LeMat-Bulk describes PrY14Th after structural relaxation. The functional is PBE-GGA.

The structure in CIF format:
```
data_PrY14Th
_chemical_formula_sum 'Pr1 Y14 Th1'
_symmetry_space_group_name_H-M 'P 4/m m m'
_symmetry_Int_Tables_number 123
_symmetry_space_group_name_Hall '-P 4 2'
_cell_length_a 7.1810
_cell_length_b 7.1810
_cell_length_c 10.1127
_cell_angle_alpha 90.00
_cell_angle_beta 90.00
_cell_angle_gamma 90.00
loop_
_atom_site_label
_atom_site_type_symbol
_atom_site_fract_x
_atom_site_fract_y
_atom_site_fract_z
Pr1 Pr 0.0000 0.0000 0.0000
Y1 Y 0.0000 0.0000 0.5000
Y2 Y 0.0000 0.5000 0.0000
Y3 Y 0.0000 0.5000 0.5000
Y4 Y 0.2529 0.2529 0.2494
Y5 Y 0.5000 0.5000 0.5000
Th1 Th 0.5000 0.5000 0.0000
```

Properties
The crystal system is tetragonal.


Here are the calculated calculated formation energy numbers, same order: 0.105, 0.177, 0.026 (eV per atom).
Here are the calculated magnetic moment numbers, same order: 0.001, 0.000, 0.000 (μB/f.u.).